Record 1
A relaxed structure of Ta2TcPt, computed with PBE-GGA.

## Properties
Space-group type: Cmmm
M_tot in μB per formula unit: 0.00
Energy of formation from the pure elements in eV per atom: -0.3340

Cell: 2.822 2.822 8.605 Å, 90.00 90.00 105.62°
Atoms (fractional coordinates):
Ta (0.000, 0.000, 0.248)
Ta (0.000, 0.000, 0.752)
Tc (0.500, 0.500, 0.000)
Pt (0.500, 0.500, 0.500)

=====

Record 2
A relaxed structure of Ta2TcPt, computed with PBE-GGA.

## Properties
Space-group type: P4mm
M_tot in μB per formula unit: 0.00
Energy of formation from the pure elements in eV per atom: -0.1414

Cell: 2.772 2.772 8.674 Å, 90.00 90.00 90.00°
Atoms (fractional coordinates):
Ta (0.000, 0.000, 0.000)
Ta (0.500, 0.500, 0.267)
Tc (0.000, 0.000, 0.525)
Pt (0.500, 0.500, 0.750)